Density functional theory data (PBE-GGA) for an optimized crystal structure of CuTeCl.

abc: 7.8470 7.2829 3.7587
angles: 84.14 67.41 28.46
Last column: nearest neighbours and their distance in Å.
Atoms (fractional coordinates):
1 Cu 0.0000 0.0000 0.0000  2 Cl 2.27
2 Te 0.3622 0.3622 0.6378  2 Cu 2.57
3 Cl 0.6082 0.6082 0.3918  2 Cu 2.27

* VASP energy: -9.6 eV for the cell shown